Record 1
# NiPtRh

A crystal of NiPtRh relaxed with PBEsol (meta-GGA SCAN, Alexandria).

Values from the calculation:
Formation energy from the elements (eV per formula unit): -0.2
Total DFT energy (no corrections) (eV for the cell shown): -120.3
Energy above the lowest structure with this stoichiometry (meV per atom): 15
Magnetization (μB/f.u.): 2.01

Lattice parameters (Å, degrees): 2.6843 2.6843 5.7523 103.49 103.49 90.00
Last column: magnetic moment on the atom in μB.
Fractional positions:
Ni1 0.9968 0.9968 0.9936  1.03
Rh1 0.3420 0.3420 0.6839  0.82
Pt1 0.6613 0.6613 0.3225  0.28


Record 2
# ScCdPb2Se

A crystal of ScCdPb2Se relaxed with PBEsol (meta-GGA SCAN, Alexandria).

Values from the calculation:
Total DFT energy (no corrections) (eV for the cell shown): -216.6
Magnetization (μB/f.u.): 0.00
Formation energy (no corrections) (eV per atom): -0.062

Lattice parameters (Å, degrees): 4.9310 5.6470 5.6470 90.00 90.00 90.00
Fractional positions:
Pb1 0.0000 0.0000 0.5000
Pb2 0.0000 0.5000 0.0000
Sc1 0.0000 0.0000 0.0000
Se1 0.5000 0.0000 0.0000
Cd1 0.5000 0.5000 0.5000


Record 3
# NiH14C3NCl3O2

A crystal of NiH14C3NCl3O2 relaxed with PBEsol (meta-GGA SCAN, Alexandria).

Values from the calculation:
Total DFT energy (no corrections) (eV for the cell shown): -620.0
Magnetization (μB/f.u.): 2.00

Lattice parameters (Å, degrees): 7.0492 7.8376 16.3785 90.00 90.00 90.00
Last column: magnetic moment on the atom in μB.
Fractional positions:
Ni1 0.5000 0.0000 0.0000  1.64
Ni2 0.0000 0.0000 0.0000  1.64
Ni3 0.5000 0.5000 0.5000  1.64
Ni4 0.0000 0.5000 0.5000  1.64
H1 0.4254 0.6839 0.9570  0.00
H2 0.1218 0.5296 0.1364  0.00
H3 0.3782 0.5296 0.1364  0.00
H4 0.2500 0.2496 0.1219  0.00
H5 0.0991 0.1822 0.4814  0.00
H6 0.8782 0.4704 0.8636  0.00
H7 0.4197 0.2960 0.2862  0.00
H8 0.6218 0.0296 0.3636  0.00
H9 0.0790 0.1052 0.2239  0.00
H10 0.5803 0.7040 0.7138  0.00
H11 0.5480 0.2081 0.6902  0.00
H12 0.6218 0.4704 0.8636  0.00
H13 0.9520 0.2081 0.6902  0.00
H14 0.9210 0.6052 0.2761  0.00
H15 0.1218 0.9704 0.6364  0.00
H16 0.9009 0.8178 0.5186  0.00
H17 0.9254 0.1839 0.5430  0.00
H18 0.0480 0.7081 0.8098  0.00
H19 0.0991 0.3178 0.9814  0.00
H20 0.7500 0.4498 0.7687  0.00
H21 0.4197 0.2040 0.7862  0.00
H22 0.9197 0.7040 0.7138  0.00
H23 0.5746 0.3161 0.0430  0.00
H24 0.2500 0.5502 0.2313  0.00
H25 0.7500 0.7496 0.3781  0.00
H26 0.2500 0.9498 0.7313  0.00
H27 0.5803 0.7960 0.2138  0.00
H28 0.8782 0.0296 0.3636  0.00
H29 0.4254 0.8161 0.4570  0.00
H30 0.0803 0.2040 0.7862  0.00
H31 0.7500 0.7504 0.8781  0.00
H32 0.5790 0.6052 0.2761  0.00
H33 0.0746 0.6839 0.9570  0.00
H34 0.7500 0.0502 0.2687  0.00
H35 0.0480 0.7919 0.3098  0.00
H36 0.4009 0.1822 0.4814  0.00
H37 0.4210 0.1052 0.2239  0.00
H38 0.9197 0.7960 0.2138  0.00
H39 0.5991 0.6822 0.0186  0.00
H40 0.0790 0.3948 0.7239  0.00
H41 0.9210 0.8948 0.7761  0.00
H42 0.2500 0.2504 0.6219  0.00
H43 0.4520 0.7919 0.3098  0.00
H44 0.9009 0.6822 0.0186  0.00
H45 0.4210 0.3948 0.7239  0.00
H46 0.9254 0.3161 0.0430  0.00
H47 0.4520 0.7081 0.8098  0.00
H48 0.0803 0.2960 0.2862  0.00
H49 0.9520 0.2919 0.1902  0.00
H50 0.4009 0.3178 0.9814  0.00
H51 0.3782 0.9704 0.6364  0.00
H52 0.5746 0.1839 0.5430  0.00
H53 0.5480 0.2919 0.1902  0.00
H54 0.5790 0.8948 0.7761  0.00
H55 0.0746 0.8161 0.4570  0.00
H56 0.5991 0.8178 0.5186  0.00
C1 0.0773 0.2454 0.2235  0.00
C2 0.5773 0.7454 0.2765  0.00
C3 0.2500 0.0080 0.6701  0.00
C4 0.4227 0.2546 0.7235  0.00
C5 0.9227 0.7546 0.7765  0.00
C6 0.5773 0.7546 0.7765  0.00
C7 0.7500 0.9920 0.3299  0.00
C8 0.7500 0.5080 0.8299  0.00
C9 0.4227 0.2454 0.2235  0.00
C10 0.2500 0.4920 0.1701  0.00
C11 0.9227 0.7454 0.2765  0.00
C12 0.0773 0.2546 0.7235  0.00
N1 0.2500 0.3043 0.1805  0.00
N2 0.2500 0.1957 0.6805  0.00
N3 0.7500 0.6957 0.8195  0.00
N4 0.7500 0.8043 0.3195  0.00
Cl1 0.7500 0.5050 0.0902  0.00
Cl2 0.7500 0.5112 0.5966  0.10
Cl3 0.2500 0.5731 0.5929  0.10
Cl4 0.2500 0.9269 0.0929  0.10
Cl5 0.7500 0.4269 0.4071  0.10
Cl6 0.2500 0.4888 0.4034  0.10
Cl7 0.2500 0.0112 0.9034  0.10
Cl8 0.7500 0.0731 0.9071  0.10
Cl9 0.2500 0.0050 0.4098  0.00
Cl10 0.7500 0.9950 0.5902  0.00
Cl11 0.7500 0.9888 0.0966  0.10
Cl12 0.2500 0.4950 0.9098  0.00
O1 0.4584 0.2510 0.0271  0.04
O2 0.4584 0.2490 0.5271  0.04
O3 0.5416 0.7510 0.4729  0.04
O4 0.0416 0.2490 0.5271  0.04
O5 0.9584 0.7490 0.9729  0.04
O6 0.0416 0.2510 0.0271  0.04
O7 0.5416 0.7490 0.9729  0.04
O8 0.9584 0.7510 0.4729  0.04